The following is a PBE calculation of crystalline CsErCuBr5 at its relaxed geometry, from Alexandria.

Summary:
Its density of states at the Fermi level is 0.000 states/eV/atom. Its energy relative to the elements, uncorrected is -1.439 eV/atom. For the theoretical density, the calculation gives 4.32 g/cm3.

Unit cell a=9.566 b=12.605 c=10.582 alpha=90.00 beta=113.12 gamma=90.00
Space group C2/c (No. 15)
Asymmetric unit:
Cs1 0.000 0.151 0.250
Er1 0.000 0.500 0.000
Cu1 0.000 0.192 0.750
Br1 0.000 0.432 0.250
Br2 0.098 0.297 0.604
Br3 0.203 0.077 0.922